Below is a geometry-optimized TmTlHgS3 structure, with properties calculated at the GGA-PBE level.

```
TmTlHgS3
1.0
-8.1324 3.7720 5.7287
2.2418 -4.4308 6.0998
0.3218 6.7659 -3.9981
Hg S Tl Tm
2 6 2 2
Direct
0.2500 0.6020 0.3980
0.7500 0.3980 0.6020
0.2500 0.9561 0.0439
0.0265 0.6205 0.3795
0.4735 0.6205 0.3795
0.5265 0.3795 0.6205
0.9735 0.3795 0.6205
0.7500 0.0439 0.9561
0.7500 0.6911 0.3088
0.2500 0.3088 0.6911
0.0000 0.0000 0.0000
0.5000 0.0000 0.0000
```

## Properties
Offset from the most stable computed form ... 0.6 meV/atom
E ... -50.87 eV for the cell shown
Crystal system ... orthorhombic